Entry from Alexandria via LeMat-Bulk: a relaxed structure of NaPuAgSe3 (PBE).

Lattice parameters (Å, degrees): 8.2182 4.1812 9.4058 90.00 103.00 90.00
Closest atoms and distances in Å follow each position.
Fractional coordinates of all 12 atoms:
Na1 0.1971 0.2500 0.2451  7 Se 3.13-3.44
Na2 0.8029 0.7500 0.7549  7 Se 3.13-3.44
Pu1 0.3230 0.7500 0.8404  6 Se 2.83-2.87
Pu2 0.6770 0.2500 0.1596  6 Se 2.83-2.87
Ag1 0.0872 0.2500 0.5868  4 Se 2.64-2.86, 2 Ag 2.84
Ag2 0.9128 0.7500 0.4132  4 Se 2.64-2.86, 2 Ag 2.84
Se1 0.0983 0.2500 0.8694  1 Ag 2.64, 2 Pu 2.84
Se2 0.2646 0.7500 0.5321  3 Ag 2.66-2.86, 1 Pu 2.83
Se3 0.4366 0.7500 0.1519  3 Pu 2.87, 2 Na 3.13
Se4 0.5634 0.2500 0.8481  3 Pu 2.87, 2 Na 3.13
Se5 0.7354 0.2500 0.4679  3 Ag 2.66-2.86, 1 Pu 2.83
Se6 0.9017 0.7500 0.1306  1 Ag 2.64, 2 Pu 2.84

Results
N(E_F) (states/eV/cell): 20.38
Crystal system: monoclinic
Raw total energy (eV/atom): -5.78
ΔE_f (raw) (eV/atom): -0.955
Calculated density (Mg/m³): 6.5
Size of the total moment (μB/f.u.): 4.1



Entry from Alexandria via LeMat-Bulk: a relaxed structure of MgScAu (PBE).

Lattice parameters (Å, degrees): 4.6112 4.6112 4.6112 60.00 60.00 60.00
Closest atoms and distances in Å follow each position.
Fractional coordinates of all 3 atoms:
Mg1 0.0000 0.0000 0.0000  4 Au 2.82
Sc1 0.5000 0.5000 0.5000  4 Au 2.82
Au1 0.2500 0.2500 0.2500  4 Mg 2.82, 4 Sc 2.82

Results
N(E_F) (states/eV/cell): 3.91
Energy relative to the elements (eV/atom): -0.45
Crystal system: cubic
Raw total energy (eV/atom): -4.18
Calculated density (Mg/m³): 6.4
Size of the total moment (μB/f.u.): 0.0



Entry from Alexandria via LeMat-Bulk: a relaxed structure of K2BaFe (PBE).

Lattice parameters (Å, degrees): 6.2862 6.2862 6.2862 120.06 120.06 89.90
Closest atoms and distances in Å follow each position.
Fractional coordinates of all 4 atoms:
K1 0.0000 0.0000 0.0000  4 K 3.85, 4 Ba 3.85
K2 0.7500 0.2500 0.5000  4 Fe 3.85, 4 K 3.85
Ba1 0.2500 0.7500 0.5000  4 Fe 3.85, 4 K 3.85
Fe1 0.5000 0.5000 0.0000  4 K 3.85, 4 Ba 3.85

Results
N(E_F) (states/eV/cell): 2.02
Energy relative to the elements (eV/atom): 0.76
E above lowest polymorph (eV per formula unit): 0.63
Crystal system: tetragonal
Raw total energy (eV/atom): -2.39
Calculated density (Mg/m³): 2.6
Size of the total moment (μB/f.u.): 2.7



Entry from Alexandria via LeMat-Bulk: a relaxed structure of Ca2Re2Au (PBE).

Lattice parameters (Å, degrees): 6.8606 6.8606 4.7412 90.00 90.00 90.00
Closest atoms and distances in Å follow each position.
Fractional coordinates of all 10 atoms:
Ca1 0.1774 0.3226 0.0000  6 Re 3.10-3.14, 1 Ca 3.44, 4 Au 3.46
Ca2 0.3226 0.8226 0.0000  6 Re 3.10-3.14, 1 Ca 3.44, 4 Au 3.46
Ca3 0.6774 0.1774 0.0000  6 Re 3.10-3.14, 1 Ca 3.44, 4 Au 3.46
Ca4 0.8226 0.6774 0.0000  6 Re 3.10-3.14, 1 Ca 3.44, 4 Au 3.46
Re1 0.1175 0.6175 0.5000  1 Re 2.28
Re2 0.3825 0.1175 0.5000  1 Re 2.28
Re3 0.6175 0.8825 0.5000  1 Re 2.28
Re4 0.8825 0.3825 0.5000  1 Re 2.28
Au1 0.0000 0.0000 0.5000  4 Re 2.75
Au2 0.5000 0.5000 0.5000  4 Re 2.75

Results
N(E_F) (states/eV/cell): 15.70
Energy relative to the elements (eV/atom): 0.39
E above lowest polymorph (eV per formula unit): 0.00
Crystal system: tetragonal
Raw total energy (eV/atom): -6.05
Calculated density (Mg/m³): 9.7
Size of the total moment (μB/f.u.): 0.0



Entry from Alexandria via LeMat-Bulk: a relaxed structure of DyHo2Ni (PBE).

Lattice parameters (Å, degrees): 6.2277 6.2277 9.4817 90.00 90.00 146.16
Closest atoms and distances in Å follow each position.
Fractional coordinates of all 8 atoms:
Dy1 0.0811 0.9189 0.7500  2 Ni 2.83
Dy2 0.9189 0.0811 0.2500  2 Ni 2.83
Ho1 0.3632 0.6368 0.5697  2 Ni 2.76
Ho2 0.3632 0.6368 0.9303  2 Ni 2.76
Ho3 0.6368 0.3632 0.0697  2 Ni 2.76
Ho4 0.6368 0.3632 0.4303  2 Ni 2.76
Ni1 0.2367 0.7633 0.2500  4 Ho 2.76, 2 Dy 2.83
Ni2 0.7633 0.2367 0.7500  4 Ho 2.76, 2 Dy 2.83

Results
N(E_F) (states/eV/cell): 11.23
Energy relative to the elements (eV/atom): -0.22
E above lowest polymorph (eV per formula unit): 0.13
Crystal system: orthorhombic
Raw total energy (eV/atom): -5.11
Calculated density (Mg/m³): 8.9
Size of the total moment (μB/f.u.): 0.0



Entry from Alexandria via LeMat-Bulk: a relaxed structure of SnWCl2 (PBE).

Lattice parameters (Å, degrees): 6.5258 6.5258 6.5258 100.23 100.23 130.14
Closest atoms and distances in Å follow each position.
Fractional coordinates of all 8 atoms:
Sn1 0.0000 0.0000 0.0000  2 W 2.75
Sn2 0.7500 0.2500 0.5000  2 W 2.75
W1 0.2500 0.7500 0.5000  4 Cl 2.43
W2 0.5000 0.5000 0.0000  4 Cl 2.43
Cl1 0.2521 0.6250 0.1271  2 W 2.43
Cl2 0.3750 0.5021 0.6271  2 W 2.43
Cl3 0.4979 0.1250 0.8729  2 W 2.43
Cl4 0.8750 0.7479 0.3729  2 W 2.43

Results
N(E_F) (states/eV/cell): 5.47
E above lowest polymorph (eV per formula unit): 1.20
Crystal system: tetragonal
Raw total energy (eV/atom): -4.84
ΔE_f (raw) (eV/atom): 0.319
Calculated density (Mg/m³): 6.4
Size of the total moment (μB/f.u.): 0.0